No. 1
## NbMoRh (PBE)

Data for a relaxed NbMoRh crystal.

Summary:
energy above the lowest structure with this stoichiometry	1	meV per atom
Fermi-level density of states	6.4	states/eV/cell
total magnetization	0.0	μB/f.u.

Unit cell a=2.7951 b=5.0255 c=7.1100 alpha=79.13 beta=82.09 gamma=82.65
Atoms (fractional coordinates):
Nb 0.5472 0.6404 0.1601
Nb 0.4528 0.3596 0.8399
Mo 0.7777 0.7393 0.5165
Mo 0.2223 0.2607 0.4835
Rh 0.0709 0.8788 0.8270
Rh 0.9291 0.1212 0.1730

***

No. 2
## Zr2CdTc (PBE)

Data for a relaxed Zr2CdTc crystal.

Summary:
Fermi-level density of states	4.0	states/eV/cell
E	-27.71	eV/f.u.
total magnetization	0.0	μB/f.u.

Unit cell a=9.6360 b=9.6360 c=9.6360 alpha=19.04 beta=19.04 gamma=19.04
Atoms (fractional coordinates):
Cd 0.4925 0.4925 0.4925
Tc 0.7455 0.7455 0.7455
Zr 0.0112 0.0112 0.0112
Zr 0.2508 0.2508 0.2508

***

No. 3
## CdReRu2 (PBE)

Data for a relaxed CdReRu2 crystal.

Summary:
Fermi-level density of states	5.9	states/eV/cell
E	-29.07	eV/f.u.
total magnetization	0.0	μB/f.u.

Unit cell a=2.8496 b=4.7823 c=4.6021 alpha=90.00 beta=90.00 gamma=90.00
Atoms (fractional coordinates):
Cd 0.5000 0.0000 0.5000
Re 0.0000 0.5000 0.5000
Ru 0.0000 0.0000 0.0000
Ru 0.5000 0.5000 0.0000

***

No. 4
## SmTm2AgN (PBE)

Data for a relaxed SmTm2AgN crystal.

Summary:
Fermi-level density of states	5.5	states/eV/cell
E	-28.55	eV/f.u.
total magnetization	0.0	μB/f.u.

Unit cell a=4.6850 b=4.6849 c=4.9926 alpha=90.00 beta=90.00 gamma=90.00
Atoms (fractional coordinates):
Sm 0.0000 0.0000 0.5000
Tm 0.0000 0.5000 0.0000
Tm 0.5000 0.0000 0.0000
Ag 0.5000 0.5000 0.5000
N 0.0000 0.0000 0.0000

***

Question: Which of these has the lowest Fermi-level density of states?
Answer: Zr2CdTc

***

Question: Number 3 is which compound?
Answer: CdReRu2